An optimized crystal structure of La2Pr3Ga3, computed with PBE.

```
La2Pr3Ga3
1.0
3.7992 0.0000 0.0000
0.0000 5.3185 0.0000
-1.8996 -2.6592 11.3854
La Pr Ga
2 3 3
direct
0.7268 0.2268 0.4536 La
0.2732 0.7732 0.5464 La
0.6133 0.6133 0.2265 Pr
0.3867 0.3867 0.7735 Pr
0.5000 0.0000 0.0000 Pr
0.1163 0.1163 0.2326 Ga
0.0000 0.5000 0.0000 Ga
0.8837 0.8837 0.7674 Ga
```

## Properties
Density of states at the Fermi level (states/eV per cell): 6.75
E_form (meV/atom): -393
Space-group type: Immm, No. 71
Total magnetization (μB/f.u.): 0.0